# 1
The following is a DFT calculation (PBE) of KSrCr3 after structural relaxation.

Summary:
M_tot: 15.21 μB/f.u.
Calculated formation energy: 9.03 eV/f.u.

POSCAR file:
```
KSrCr3
1.0
5.695 0.000 0.000
0.000 5.695 0.000
0.000 0.000 5.695
K Sr Cr
1 1 3
direct
0.000 0.000 0.000
0.500 0.500 0.500
0.000 0.000 0.500
0.000 0.500 0.000
0.500 0.000 0.000
```

---

# 2
The following is a DFT calculation (PBE) of TaTi2B after structural relaxation.

Summary:
M_tot: 0.00 μB/f.u.
Calculated formation energy: -1.33 eV/f.u.

POSCAR file:
```
TaTi2B
1.0
1.623 -4.762 0.000
1.623 4.762 0.000
0.000 0.000 7.400
Ta Ti B
2 4 2
direct
0.074 0.926 0.750
0.926 0.074 0.250
0.358 0.642 0.553
0.358 0.642 0.947
0.642 0.358 0.053
0.642 0.358 0.447
0.240 0.760 0.250
0.760 0.240 0.750
```

---

Number 1: V 185 Å³/cell. Number 2: V 114 Å³/cell.